First-principles (PBE+U) data for an optimized crystal structure of NdBMoO6, as listed in Alexandria via LeMat-Bulk.

## Properties
Raw total energy: -7.76 eV/atom
Total magnetization: 0.0 μB/f.u.

a b c (Å): 10.3835 4.2224 12.0649
angles (deg): 90.00 117.31 90.00
Last column: nearest neighbours and their distance in Å.
Space group P2_1/c (No. 14)
Inequivalent atoms, fractional coordinates:
1 Nd 0.1951 0.1796 0.0326 x4  7 O 2.40-2.61
2 B 0.0025 0.6769 0.8076 x4  3 O 1.34-1.41
3 Mo 0.3544 0.7260 0.8132 x4  4 O 1.78-1.86
4 O 0.0011 0.2145 0.0893 x4  1 B 1.34
5 O 0.0320 0.1471 0.3019 x4  2 B 1.41
6 O 0.2586 0.6864 0.1429 x4  1 Mo 1.86
7 O 0.2602 0.6883 0.4038 x4  1 Mo 1.81
8 O 0.3358 0.1947 0.2927 x4  1 Mo 1.79
9 O 0.4556 0.2061 0.1060 x4  1 Mo 1.78